1.
A plane-wave DFT calculation with PBE was carried out for an optimized crystal structure of LaTbDy3Er.

Computed properties:
Electronic total energy in eV/atom: -4.438
Formation enthalpy at 0 K in meV/atom: 216.8

Lattice parameters (Å, degrees): 5.6395 10.3209 7.0591 90.37 90.00 105.86
Closest atoms and distances in Å follow each position.
Positions (direct):
La  0.3571  0.7142  0.9718  1 Tb 3.02, 2 Dy 3.16-3.31
La  0.6429  0.2858  0.0282  1 Tb 3.02, 2 Dy 3.16-3.31
Tb  0.6496  0.2992  0.4558  1 La 3.02, 2 Dy 3.19-3.33
Tb  0.3504  0.7008  0.5442  1 La 3.02, 2 Dy 3.19-3.33
Er  0.0553  0.1105  0.2826  3 Dy 3.22-3.31, 2 Tb 3.60
Er  0.9447  0.8895  0.7174  3 Dy 3.22-3.31, 2 Tb 3.60
Dy  0.7790  0.5579  0.7594  1 Er 3.31, 3 La 3.31-3.55, 3 Tb 3.33-3.51, 3 Dy 3.62-3.66
Dy  0.5231  0.0461  0.7309  1 La 3.16, 1 Tb 3.19, 2 Er 3.22, 1 Dy 3.38
Dy  0.4769  0.9539  0.2691  1 La 3.16, 1 Tb 3.19, 2 Er 3.22, 1 Dy 3.38
Dy  0.2210  0.4421  0.2406  1 Er 3.31, 3 La 3.31-3.55, 3 Tb 3.33-3.51, 3 Dy 3.62-3.66
Dy  0.8376  0.6752  0.2755  2 Tb 3.41, 2 La 3.56, 3 Dy 3.62-3.66, 1 Er 3.76
Dy  0.1624  0.3248  0.7245  2 Tb 3.41, 2 La 3.56, 3 Dy 3.62-3.66, 1 Er 3.76

2.
A plane-wave DFT calculation with PBE was carried out for an optimized crystal structure of La2Tb5DyEr.

Computed properties:
Electronic total energy in eV/atom: -4.549
Formation enthalpy at 0 K in meV/atom: 136.6

Lattice parameters (Å, degrees): 5.6593 10.3647 10.7349 90.00 90.00 105.84
Closest atoms and distances in Å follow each position.
Positions (direct):
Tb  0.9837  0.9674  0.5225  2 Dy 3.24, 2 La 3.43-3.44
Tb  0.3865  0.7730  0.0210  6 Tb 3.54-3.83, 4 La 3.57-3.64, 1 Er 3.71
Tb  0.7009  0.4018  0.2061  4 Tb 3.43-3.80, 1 Dy 3.46, 3 La 3.51-3.71, 3 Er 3.52-3.82
Tb  0.7197  0.4394  0.8099  1 Dy 3.08, 1 La 3.28, 2 Tb 3.43
Tb  0.5191  0.0382  0.2403  2 Dy 3.20-3.30, 2 La 3.53, 2 Tb 3.54-3.55
Tb  0.4809  0.9618  0.7403  2 Dy 3.20-3.30, 2 La 3.53, 2 Tb 3.54-3.55
Tb  0.2991  0.5982  0.7061  4 Tb 3.43-3.80, 1 Dy 3.46, 3 La 3.51-3.71, 3 Er 3.52-3.82
Tb  0.2803  0.5606  0.3099  1 Dy 3.08, 1 La 3.28, 2 Tb 3.43
Tb  0.6135  0.2270  0.5210  6 Tb 3.54-3.83, 4 La 3.57-3.64, 1 Er 3.71
Tb  0.0163  0.0326  0.0225  2 Dy 3.24, 2 La 3.43-3.44
La  0.8842  0.7683  0.8181  8 Tb 3.28-3.57
La  0.8866  0.7732  0.2335  7 Tb 3.44-3.71, 1 Er 3.45, 2 Dy 3.77
La  0.1134  0.2268  0.7335  7 Tb 3.44-3.71, 1 Er 3.45, 2 Dy 3.77
La  0.1158  0.2317  0.3181  8 Tb 3.28-3.57
Er  0.7994  0.5988  0.5113  2 La 3.45-3.70, 8 Tb 3.52-3.82, 2 Dy 3.65
Er  0.2006  0.4012  0.0113  2 La 3.45-3.70, 8 Tb 3.52-3.82, 2 Dy 3.65
Dy  0.4116  0.8233  0.4613  5 Tb 3.08-3.30
Dy  0.5884  0.1767  0.9613  5 Tb 3.08-3.30

3.
A plane-wave DFT calculation with PBE was carried out for an optimized crystal structure of La2Tb2Dy4Er.

Computed properties:
Electronic total energy in eV/atom: -4.675
Formation enthalpy at 0 K in meV/atom: 1.7

Lattice parameters (Å, degrees): 3.6222 9.5578 9.6097 115.19 90.00 100.92
Closest atoms and distances in Å follow each position.
Positions (direct):
Dy  0.5200  0.0400  0.3354  4 Tb 3.51-3.63, 5 Dy 3.55-3.62, 1 La 3.56, 2 Er 3.57
Dy  0.4800  0.9600  0.6646  4 Tb 3.51-3.63, 5 Dy 3.55-3.62, 1 La 3.56, 2 Er 3.57
Dy  0.8145  0.6290  0.6627  3 Tb 3.50-3.63, 6 Dy 3.52-3.62, 1 Er 3.58, 2 La 3.59
Dy  0.1855  0.3710  0.3373  3 Tb 3.50-3.63, 6 Dy 3.52-3.62, 1 Er 3.58, 2 La 3.59
La  0.6649  0.3297  0.9989  3 Dy 3.56-3.59, 2 Er 3.59, 3 Tb 3.59-3.62, 4 La 3.62-3.67
La  0.3351  0.6703  0.0011  3 Dy 3.56-3.59, 2 Er 3.59, 3 Tb 3.59-3.62, 4 La 3.62-3.67
Tb  0.8532  0.7063  0.3377  7 Dy 3.50-3.63, 3 La 3.59-3.62, 2 Tb 3.62
Tb  0.1468  0.2937  0.6623  7 Dy 3.50-3.63, 3 La 3.59-3.62, 2 Tb 3.62
Er  0.0000  0.0000  0.0000  6 Dy 3.57-3.58, 4 La 3.59, 2 Er 3.62

Question: What is the electronic total energy in the first record?
Answer: -4.438 eV/atom